Compound: SrHgP2S
Source: Alexandria via LeMat-Bulk
Functional: PBE
Structure: relaxed

The uncorrected energy is -3.148 eV per atom. The calculation puts the density of states at the Fermi level at 6.21 states/eV per cell. For the magnetization, the calculation gives 0.0002 μB/atom. As for the space group: P4/mmm. As for the formation energy from raw total energies: 0.238 eV per atom. As for the crystal system: tetragonal. As for the distance to the lowest polymorph of the same formula: 0.000 eV/atom.

Cell: 4.985 4.985 5.281 Å, 90.00 90.00 90.00°
Element x y z (fractional)
Sr: 0.500 0.500 0.500
S: 0.000 0.000 0.500
Hg: 0.000 0.000 0.000
P: 0.000 0.500 0.000
P: 0.500 0.000 0.000

***

Compound: SrHgP2S8
Source: Alexandria via LeMat-Bulk
Functional: PBE
Structure: relaxed

The uncorrected energy is -4.155 eV per atom. The calculation puts the density of states at the Fermi level at 13.26 states/eV per cell. For the magnetization, the calculation gives 0.0805 μB/atom. As for the space group: P-3. As for the formation energy from raw total energies: -0.337 eV per atom. As for the crystal system: trigonal.

Cell: 5.906 5.906 9.281 Å, 90.00 90.00 120.00°
Element x y z (fractional)
Sr: 0.000 0.000 0.000
Hg: 0.000 0.000 0.500
P: 0.667 0.333 0.236
P: 0.333 0.667 0.764
S: 0.333 0.667 0.983
S: 0.336 0.339 0.300
S: 0.661 0.997 0.300
S: 0.667 0.333 0.017
S: 0.339 0.003 0.700
S: 0.664 0.661 0.700
S: 0.997 0.336 0.700
S: 0.003 0.664 0.300